1.
Entry from the Alexandria database: a geometry-optimized Ce2SnH structure (PBE-GGA).

```
Ce2SnH
1.0
2.173 1.255 5.799
-2.173 1.255 5.799
0.000 -2.509 5.799
Ce Sn H
2 1 1
direct
0.227 0.227 0.227
0.773 0.773 0.773
0.000 0.000 0.000
0.500 0.500 0.500
```

Properties
Space-group type ... No. 166
Crystal system ... trigonal
Excess energy over the best structure of this formula in the dataset ... 309 meV per atom
Total magnetization ... 2.6 μB per cell


2.
Entry from the Alexandria database: a geometry-optimized Ce3Sn2H2 structure (PBE-GGA).

```
Ce3Sn2H2
1.0
6.553 0.000 0.000
0.000 8.375 0.000
-3.521 0.000 5.868
Ce Sn H
6 4 4
direct
0.000 0.000 0.000
0.000 0.500 0.500
0.329 0.089 0.689
0.329 0.411 0.189
0.671 0.589 0.811
0.671 0.911 0.311
0.233 0.735 0.883
0.233 0.765 0.383
0.767 0.235 0.617
0.767 0.265 0.117
0.356 0.118 0.065
0.356 0.382 0.565
0.644 0.618 0.435
0.644 0.882 0.935
```

Properties
Space-group type ... No. 14
Crystal system ... monoclinic
Total DFT energy (no corrections) ... -5.10 eV per atom
Total magnetization ... 6.1 μB per cell


3.
Entry from the Alexandria database: a geometry-optimized Ce6Sn3H structure (PBE-GGA).

```
Ce6Sn3H
1.0
5.556 -3.113 0.000
5.556 3.113 0.000
-2.163 0.000 7.629
Ce Sn H
6 3 1
direct
0.100 0.645 0.625
0.148 0.148 0.888
0.355 0.900 0.375
0.645 0.100 0.625
0.852 0.852 0.112
0.900 0.355 0.375
0.356 0.356 0.270
0.500 0.500 0.000
0.644 0.644 0.730
0.000 0.000 0.500
```

Properties
Space-group type ... No. 12
Crystal system ... monoclinic
Excess energy over the best structure of this formula in the dataset ... 129 meV per atom
Total magnetization ... 6.5 μB per cell


4.
Entry from the Alexandria database: a geometry-optimized CeSnH2 structure (PBE-GGA).

```
CeSnH2
1.0
1.846 -6.074 0.000
1.846 6.074 0.000
0.000 0.000 6.180
Ce Sn H
2 2 4
direct
0.209 0.791 0.750
0.791 0.209 0.250
0.056 0.944 0.250
0.944 0.056 0.750
0.310 0.690 0.047
0.310 0.690 0.453
0.690 0.310 0.547
0.690 0.310 0.953
```

Properties
Space-group type ... No. 63
Crystal system ... orthorhombic
Excess energy over the best structure of this formula in the dataset ... 49 meV per atom
Total magnetization ... 0.9 μB per cell


5.
Entry from the Alexandria database: a geometry-optimized Ce2SnH structure (PBE-GGA).

```
Ce2SnH
1.0
2.363 -8.343 0.000
2.363 8.343 0.000
0.000 0.000 4.387
Ce Sn H
4 2 2
direct
0.000 0.000 0.000
0.195 0.805 0.500
0.500 0.500 0.500
0.805 0.195 0.500
0.353 0.647 0.000
0.647 0.353 0.000
0.058 0.942 0.500
0.942 0.058 0.500
```

Properties
Space-group type ... No. 65
Crystal system ... orthorhombic
Excess energy over the best structure of this formula in the dataset ... 34 meV per atom
Total magnetization ... 4.7 μB per cell


6.
Entry from the Alexandria database: a geometry-optimized Ce2SnH structure (PBE-GGA).

```
Ce2SnH
1.0
3.306 0.000 0.000
0.000 3.306 0.000
0.000 0.000 7.466
Ce Sn H
2 1 1
direct
0.000 0.000 0.184
0.000 0.000 0.816
0.500 0.500 0.500
0.500 0.500 0.000
```

Properties
Space-group type ... No. 123
Crystal system ... tetragonal
Excess energy over the best structure of this formula in the dataset ... 282 meV per atom
Total magnetization ... 1.2 μB per cell


7.
Entry from the Alexandria database: a geometry-optimized Ce6Sn3H structure (PBE-GGA).

```
Ce6Sn3H
1.0
6.656 -8.159 0.000
6.656 8.159 0.000
0.000 0.000 4.680
Ce Sn H
12 6 2
direct
0.060 0.940 0.750
0.073 0.575 0.750
0.250 0.750 0.250
0.274 0.396 0.250
0.396 0.274 0.750
0.425 0.927 0.750
0.575 0.073 0.250
0.604 0.726 0.250
0.726 0.604 0.750
0.750 0.250 0.750
0.927 0.425 0.250
0.940 0.060 0.250
0.066 0.267 0.750
0.267 0.066 0.250
0.396 0.604 0.750
0.604 0.396 0.250
0.733 0.934 0.750
0.934 0.733 0.250
0.204 0.796 0.750
0.796 0.204 0.250
```

Properties
Space-group type ... No. 63
Crystal system ... orthorhombic
Excess energy over the best structure of this formula in the dataset ... 0 meV per atom
Total magnetization ... 12.4 μB per cell


8.
Entry from the Alexandria database: a geometry-optimized Ce2SnH2 structure (PBE-GGA).

```
Ce2SnH2
1.0
0.000 5.129 6.020
3.001 0.000 6.020
3.001 5.129 0.000
Ce Sn H
4 2 4
direct
0.054 0.696 0.054
0.304 0.946 0.304
0.696 0.054 0.696
0.946 0.304 0.946
0.375 0.375 0.375
0.625 0.625 0.625
0.008 0.008 0.242
0.242 0.242 0.008
0.758 0.758 0.992
0.992 0.992 0.758
```

Properties
Space-group type ... No. 70
Crystal system ... orthorhombic
Excess energy over the best structure of this formula in the dataset ... 29 meV per atom
Total magnetization ... 3.9 μB per cell


9.
Entry from the Alexandria database: a geometry-optimized Ce2SnH2 structure (PBE-GGA).

```
Ce2SnH2
1.0
-2.096 2.096 5.128
2.096 -2.096 5.128
2.096 2.096 -5.128
Ce Sn H
2 1 2
direct
0.146 0.146 0.000
0.854 0.854 0.000
0.500 0.500 0.000
0.250 0.750 0.500
0.750 0.250 0.500
```

Properties
Space-group type ... No. 139
Crystal system ... tetragonal
Excess energy over the best structure of this formula in the dataset ... 0 meV per atom
Total magnetization ... 1.9 μB per cell


10.
Entry from the Alexandria database: a geometry-optimized Ce4Sn2H structure (PBE-GGA).

```
Ce4Sn2H
1.0
2.403 -7.858 0.000
2.403 7.858 0.000
0.000 0.000 4.526
Ce Sn H
4 2 1
direct
0.000 0.000 0.000
0.183 0.817 0.500
0.500 0.500 0.500
0.817 0.183 0.500
0.349 0.651 0.000
0.651 0.349 0.000
0.000 0.000 0.500
```

Properties
Space-group type ... No. 65
Crystal system ... orthorhombic
Excess energy over the best structure of this formula in the dataset ... 0 meV per atom
Total magnetization ... 3.9 μB per cell


11.
Entry from the Alexandria database: a geometry-optimized Ce3SnH2 structure (PBE-GGA).

```
Ce3SnH2
1.0
-2.397 2.397 5.173
2.397 -2.397 5.173
2.397 2.397 -5.173
Ce Sn H
3 1 2
direct
0.000 0.000 0.000
0.250 0.750 0.500
0.750 0.250 0.500
0.500 0.500 0.000
0.219 0.219 0.000
0.781 0.781 0.000
```

Properties
Space-group type ... No. 139
Crystal system ... tetragonal
Total DFT energy (no corrections) ... -5.22 eV per atom
Total magnetization ... 2.8 μB per cell


12.
Entry from the Alexandria database: a geometry-optimized CeSnH structure (PBE-GGA).

```
CeSnH
1.0
3.825 0.000 0.000
-1.913 3.313 0.000
0.000 0.000 5.011
Ce Sn H
1 1 1
direct
0.000 0.000 0.000
0.333 0.667 0.500
0.667 0.333 0.001
```

Properties
Space-group type ... No. 156
Crystal system ... trigonal
Excess energy over the best structure of this formula in the dataset ... 141 meV per atom
Total magnetization ... 0.6 μB per cell